A geometry-optimized TbCe2MgTl4 structure, computed with PBE.

Final energy (eV/atom): -3.70

abc: 5.3355 5.3355 27.1548
angles: 90.00 90.00 120.00
With the nearest neighbours (Å) after each atom.
Space group R-3m (No. 166, hexagonal axes)
Unique sites:
Tb: 0.0000 0.0000 0.0000 (multiplicity 3)  8 Tl 3.28-3.35
Ce: 0.0000 0.0000 0.2427 (multiplicity 6)  8 Tl 3.21-3.58
Mg: 0.0000 0.0000 0.5000 (multiplicity 3)  8 Tl 3.30-3.41
Tl: 0.0000 0.0000 0.1235 (multiplicity 6)  4 Ce 3.21-3.23, 3 Mg 3.30, 1 Tb 3.35
Tl: 0.0000 0.0000 0.3745 (multiplicity 6)  3 Tb 3.28, 4 Ce 3.36-3.58, 1 Mg 3.41

***

A geometry-optimized CsSnPS4 structure, computed with PBE.

Final energy (eV/atom): -4.47

abc: 18.2278 6.8030 6.6168
angles: 90.00 90.00 90.00
With the nearest neighbours (Å) after each atom.
Space group Pnma (No. 62)
Unique sites:
Cs: 0.2130 0.2500 0.0135 (multiplicity 4)  8 S 3.57-3.97
Sn: 0.0130 0.7500 0.2738 (multiplicity 4)  4 S 2.77-2.95
P: 0.0882 0.7500 0.7895 (multiplicity 4)  4 S 2.04-2.07
S: 0.0220 0.2500 0.1333 (multiplicity 4)  1 P 2.07
S: 0.1095 0.5064 0.6156 (multiplicity 8)  1 P 2.05
S: 0.1516 0.7500 0.0444 (multiplicity 4)  1 P 2.04